No. 1
Crystalline InCoCuPd at its relaxed geometry. Source: OQMD via LeMat-Bulk, functional GGA-PBE.

abc: 4.360 4.360 4.360
angles: 60.00 60.00 60.00
Positions (direct):
In 0.000 0.000 0.000
Co 0.250 0.250 0.250
Cu 0.750 0.750 0.750
Pd 0.500 0.500 0.500

## Properties
Final energy in eV per atom: -4.67
Space group: No. 216
Energy above the most stable polymorph in this dataset in meV per atom: 0

---

No. 2
Crystalline CsZrAgO3 at its relaxed geometry. Source: OQMD via LeMat-Bulk, functional GGA-PBE.

abc: 13.383 3.341 10.126
angles: 90.00 90.00 90.00
Positions (direct):
Cs 0.249 0.250 0.113
Cs 0.251 0.750 0.613
Cs 0.749 0.250 0.387
Cs 0.751 0.750 0.887
Zr 0.027 0.250 0.359
Zr 0.473 0.750 0.859
Zr 0.527 0.250 0.141
Zr 0.973 0.750 0.641
Ag 0.035 0.250 0.910
Ag 0.465 0.750 0.410
Ag 0.535 0.250 0.590
Ag 0.965 0.750 0.090
O 0.067 0.250 0.559
O 0.083 0.750 0.791
O 0.111 0.750 0.301
O 0.389 0.250 0.801
O 0.417 0.250 0.291
O 0.433 0.750 0.059
O 0.567 0.250 0.941
O 0.583 0.750 0.709
O 0.611 0.750 0.199
O 0.889 0.250 0.699
O 0.917 0.250 0.209
O 0.933 0.750 0.441

## Properties
Final energy in eV per atom: -6.48
Space group: No. 62
Energy above the most stable polymorph in this dataset in meV per atom: 0

---

No. 3
Crystalline GdHoGa2Ir4 at its relaxed geometry. Source: OQMD via LeMat-Bulk, functional GGA-PBE.

abc: 4.590 4.590 6.506
angles: 90.00 90.00 90.00
Positions (direct):
Gd 0.000 0.000 0.000
Ho 0.500 0.500 0.500
Ga 0.000 0.000 0.500
Ga 0.500 0.500 0.000
Ir 0.000 0.500 0.253
Ir 0.000 0.500 0.747
Ir 0.500 0.000 0.253
Ir 0.500 0.000 0.747

## Properties
Final energy in eV per atom: -6.87
Space group: No. 123
Energy above the most stable polymorph in this dataset in meV per atom: 29